Entry 1:
## AlCuAs2Br (PBE)

Data for a geometry-optimized AlCuAs2Br structure.

Unit cell a=4.647 b=4.647 c=5.636 alpha=90.00 beta=90.00 gamma=90.00
Fractional coordinates of all 5 atoms:
Al1 0.000 0.000 0.000
Cu1 0.500 0.500 0.500
As1 0.000 0.500 0.500
As2 0.500 0.000 0.500
Br1 0.500 0.500 0.000

Properties
Crystal system: tetragonal
Polymorph energy (0 for the lowest one) in eV per atom: 0.000
Size of the total moment in μB per formula unit: 1.31
SG: P4/mmm

***

Entry 2:
## CsHf2Te4 (PBE)

Data for a geometry-optimized CsHf2Te4 structure.

Unit cell a=10.266 b=10.266 c=6.932 alpha=108.53 beta=108.53 gamma=22.93
Fractional coordinates of all 7 atoms:
Cs1 0.000 0.000 0.000
Hf1 0.250 0.250 0.257
Hf2 0.750 0.750 0.743
Te1 0.157 0.157 0.501
Te2 0.340 0.340 0.001
Te3 0.660 0.660 0.999
Te4 0.843 0.843 0.499

Properties
Crystal system: monoclinic
Polymorph energy (0 for the lowest one) in eV per atom: 0.000
Size of the total moment in μB per formula unit: 0.00
SG: C2/m

***

Entry 3:
## Cd2Te2I (PBE)

Data for a geometry-optimized Cd2Te2I structure.

Unit cell a=7.974 b=7.974 c=7.974 alpha=146.26 beta=146.26 gamma=48.47
Fractional coordinates of all 5 atoms:
Cd1 0.097 0.097 0.000
Cd2 0.903 0.903 0.000
Te1 0.250 0.750 0.500
Te2 0.750 0.250 0.500
I1 0.500 0.500 0.000

Properties
Crystal system: tetragonal
Polymorph energy (0 for the lowest one) in eV per atom: 0.111
Size of the total moment in μB per formula unit: 0.00
SG: I4/mmm

***

Entry 4:
## Y4Sb6Rh7 (PBE)

Data for a geometry-optimized Y4Sb6Rh7 structure.

Unit cell a=7.615 b=7.615 c=7.615 alpha=109.47 beta=109.47 gamma=109.47
Fractional coordinates of all 17 atoms:
Y1 0.000 0.000 0.500
Y2 0.000 0.500 0.000
Y3 0.500 0.000 0.000
Y4 0.500 0.500 0.500
Sb1 0.000 0.317 0.317
Sb2 0.000 0.683 0.683
Sb3 0.317 0.000 0.317
Sb4 0.317 0.317 0.000
Sb5 0.683 0.000 0.683
Sb6 0.683 0.683 0.000
Rh1 0.000 0.000 0.000
Rh2 0.250 0.500 0.750
Rh3 0.250 0.750 0.500
Rh4 0.500 0.250 0.750
Rh5 0.500 0.750 0.250
Rh6 0.750 0.250 0.500
Rh7 0.750 0.500 0.250

Properties
Crystal system: cubic
Size of the total moment in μB per formula unit: 0.00
Final energy in eV/atom: -6.90
SG: Im-3m

***

Entry 5:
## BaCuBi (PBE)

Data for a geometry-optimized BaCuBi structure.

Unit cell a=5.759 b=5.759 c=5.759 alpha=48.91 beta=48.91 gamma=48.91
Fractional coordinates of all 3 atoms:
Ba1 0.000 0.000 0.000
Cu1 0.206 0.206 0.206
Bi1 0.510 0.510 0.510

Properties
Crystal system: trigonal
Size of the total moment in μB per formula unit: 0.00
SG: R3m
DFT formation energy in eV/atom: -0.4522

***

Entry 6:
## Sc2Co (PBE)

Data for a geometry-optimized Sc2Co structure.

Unit cell a=5.269 b=5.269 c=5.254 alpha=106.54 beta=106.54 gamma=115.43
Fractional coordinates of all 6 atoms:
Sc1 0.177 0.823 0.000
Sc2 0.322 0.322 0.645
Sc3 0.678 0.678 0.355
Sc4 0.823 0.177 0.000
Co1 0.250 0.750 0.500
Co2 0.750 0.250 0.500

Properties
Crystal system: monoclinic
Size of the total moment in μB per formula unit: 0.00
SG: C2/m
DFT formation energy in eV/atom: -0.2600

***

Entry 7:
## MgBeBr (PBE)

Data for a geometry-optimized MgBeBr structure.

Unit cell a=4.719 b=4.719 c=4.719 alpha=60.00 beta=60.00 gamma=60.00
Fractional coordinates of all 3 atoms:
Mg1 0.000 0.000 0.000
Be1 0.250 0.250 0.250
Br1 0.500 0.500 0.500

Properties
Crystal system: cubic
Polymorph energy (0 for the lowest one) in eV per atom: 0.519
Size of the total moment in μB per formula unit: 0.00
SG: F-43m

***

Entry 8:
## Y3Tm2Sc5 (PBE)

Data for a geometry-optimized Y3Tm2Sc5 structure.

Unit cell a=8.987 b=8.994 c=8.994 alpha=115.22 beta=106.55 gamma=106.73
Fractional coordinates of all 20 atoms:
Y1 0.154 0.177 0.232
Y2 0.253 0.632 0.383
Y3 0.254 0.124 0.869
Y4 0.746 0.876 0.131
Y5 0.747 0.368 0.617
Y6 0.846 0.823 0.768
Tm1 0.053 0.726 0.076
Tm2 0.446 0.523 0.682
Tm3 0.554 0.477 0.318
Tm4 0.947 0.274 0.924
Sc1 0.047 0.224 0.576
Sc2 0.153 0.673 0.726
Sc3 0.347 0.576 0.024
Sc4 0.351 0.073 0.527
Sc5 0.450 0.020 0.172
Sc6 0.550 0.980 0.828
Sc7 0.649 0.927 0.473
Sc8 0.653 0.424 0.976
Sc9 0.847 0.327 0.274
Sc10 0.953 0.776 0.424

Properties
Crystal system: triclinic
Size of the total moment in μB per formula unit: 0.00
SG: P-1
DFT formation energy in eV/atom: 0.0632

***

Entry 9:
## Sr3LiGe2 (PBE)

Data for a geometry-optimized Sr3LiGe2 structure.

Unit cell a=4.415 b=10.529 c=8.421 alpha=90.00 beta=104.96 gamma=90.00
Fractional coordinates of all 12 atoms:
Sr1 0.124 0.250 0.242
Sr2 0.352 0.051 0.705
Sr3 0.352 0.449 0.705
Sr4 0.648 0.551 0.295
Sr5 0.648 0.949 0.295
Sr6 0.876 0.750 0.758
Li1 0.072 0.750 0.140
Li2 0.928 0.250 0.860
Ge1 0.000 0.000 0.000
Ge2 0.000 0.500 0.000
Ge3 0.238 0.750 0.476
Ge4 0.762 0.250 0.524

Properties
Crystal system: monoclinic
Size of the total moment in μB per formula unit: 0.00
SG: P2_1/m
DFT formation energy in eV/atom: -0.4141

***

Entry 10:
## La12Ge3N5 (PBE)

Data for a geometry-optimized La12Ge3N5 structure.

Unit cell a=14.059 b=14.059 c=14.059 alpha=109.47 beta=109.47 gamma=109.47
Fractional coordinates of all 80 atoms:
La1 0.019 0.202 0.115
La2 0.019 0.317 0.904
La3 0.087 0.702 0.683
La4 0.087 0.885 0.404
La5 0.096 0.615 0.413
La6 0.096 0.981 0.683
La7 0.115 0.019 0.202
La8 0.115 0.596 0.913
La9 0.183 0.202 0.587
La10 0.183 0.481 0.596
La11 0.202 0.115 0.019
La12 0.202 0.587 0.183
La13 0.298 0.317 0.913
La14 0.298 0.481 0.385
La15 0.317 0.904 0.019
La16 0.317 0.913 0.298
La17 0.385 0.298 0.481
La18 0.385 0.587 0.904
La19 0.404 0.087 0.885
La20 0.404 0.817 0.519
La21 0.413 0.096 0.615
La22 0.413 0.817 0.798
La23 0.481 0.385 0.298
La24 0.481 0.596 0.183
La25 0.519 0.404 0.817
La26 0.519 0.615 0.702
La27 0.587 0.183 0.202
La28 0.587 0.904 0.385
La29 0.596 0.183 0.481
La30 0.596 0.913 0.115
La31 0.615 0.413 0.096
La32 0.615 0.702 0.519
La33 0.683 0.087 0.702
La34 0.683 0.096 0.981
La35 0.702 0.519 0.615
La36 0.702 0.683 0.087
La37 0.798 0.413 0.817
La38 0.798 0.885 0.981
La39 0.817 0.519 0.404
La40 0.817 0.798 0.413
La41 0.885 0.404 0.087
La42 0.885 0.981 0.798
La43 0.904 0.019 0.317
La44 0.904 0.385 0.587
La45 0.913 0.115 0.596
La46 0.913 0.298 0.317
La47 0.981 0.683 0.096
La48 0.981 0.798 0.885
Ge1 0.125 0.250 0.375
Ge2 0.125 0.375 0.750
Ge3 0.250 0.375 0.125
Ge4 0.250 0.875 0.625
Ge5 0.375 0.125 0.250
Ge6 0.375 0.750 0.125
Ge7 0.625 0.250 0.875
Ge8 0.625 0.875 0.750
Ge9 0.750 0.125 0.375
Ge10 0.750 0.625 0.875
Ge11 0.875 0.625 0.250
Ge12 0.875 0.750 0.625
N1 0.000 0.000 0.000
N2 0.000 0.000 0.500
N3 0.000 0.500 0.000
N4 0.000 0.500 0.500
N5 0.125 0.750 0.875
N6 0.125 0.875 0.250
N7 0.250 0.125 0.875
N8 0.250 0.625 0.375
N9 0.375 0.250 0.625
N10 0.375 0.625 0.750
N11 0.500 0.000 0.000
N12 0.500 0.000 0.500
N13 0.500 0.500 0.000
N14 0.500 0.500 0.500
N15 0.625 0.375 0.250
N16 0.625 0.750 0.375
N17 0.750 0.375 0.625
N18 0.750 0.875 0.125
N19 0.875 0.125 0.750
N20 0.875 0.250 0.125

Properties
Crystal system: cubic
Size of the total moment in μB per formula unit: 0.00
Final energy in eV/atom: -6.65
SG: Ia-3d

***

Entry 11:
## NaDyMgCd (PBE)

Data for a geometry-optimized NaDyMgCd structure.

Unit cell a=5.179 b=5.179 c=5.179 alpha=60.00 beta=60.00 gamma=60.00
Fractional coordinates of all 4 atoms:
Na1 0.000 0.000 0.000
Dy1 0.750 0.750 0.750
Mg1 0.250 0.250 0.250
Cd1 0.500 0.500 0.500

Properties
Crystal system: cubic
Size of the total moment in μB per formula unit: 0.00
SG: F-43m
DFT formation energy in eV/atom: -0.0352

***

Entry 12:
## Pm3Er4Hg4 (PBE)

Data for a geometry-optimized Pm3Er4Hg4 structure.

Unit cell a=9.440 b=9.440 c=9.440 alpha=149.63 beta=131.08 gamma=58.67
Fractional coordinates of all 11 atoms:
Pm1 0.000 0.000 0.000
Pm2 0.390 0.890 0.500
Pm3 0.610 0.110 0.500
Er1 0.040 0.326 0.714
Er2 0.389 0.674 0.714
Er3 0.611 0.326 0.286
Er4 0.960 0.674 0.286
Hg1 0.209 0.209 0.000
Hg2 0.303 0.500 0.803
Hg3 0.697 0.500 0.197
Hg4 0.791 0.791 0.000

Properties
Crystal system: orthorhombic
Size of the total moment in μB per formula unit: 0.00
SG: Immm
DFT formation energy in eV/atom: -0.2871

***

Entry 13:
## LaPr3Sm2S6 (PBE)

Data for a geometry-optimized LaPr3Sm2S6 structure.

Unit cell a=7.076 b=7.076 c=7.068 alpha=99.60 beta=99.60 gamma=120.13
Fractional coordinates of all 12 atoms:
La1 0.000 0.000 0.000
Pr1 0.165 0.835 0.500
Pr2 0.500 0.500 0.500
Pr3 0.835 0.165 0.500
Sm1 0.333 0.667 0.000
Sm2 0.667 0.333 0.000
S1 0.082 0.421 0.245
S2 0.258 0.258 0.757
S3 0.421 0.082 0.245
S4 0.579 0.918 0.755
S5 0.742 0.742 0.243
S6 0.918 0.579 0.755

Properties
Crystal system: monoclinic
Size of the total moment in μB per formula unit: 0.00
Final energy in eV/atom: -6.51
SG: C2/m

***

Entry 14:
## CsPb4Au5 (PBE)

Data for a geometry-optimized CsPb4Au5 structure.

Unit cell a=6.962 b=6.962 c=9.833 alpha=111.60 beta=111.60 gamma=39.31
Fractional coordinates of all 10 atoms:
Cs1 0.000 0.000 0.000
Pb1 0.221 0.221 0.735
Pb2 0.469 0.469 0.659
Pb3 0.531 0.531 0.341
Pb4 0.779 0.779 0.265
Au1 0.000 0.000 0.500
Au2 0.200 0.200 0.400
Au3 0.304 0.304 0.086
Au4 0.696 0.696 0.914
Au5 0.800 0.800 0.600

Properties
Crystal system: monoclinic
Size of the total moment in μB per formula unit: 0.00
SG: C2/m
DFT formation energy in eV/atom: -0.1250

***

Entry 15:
## MgAl11 (PBE)

Data for a geometry-optimized MgAl11 structure.

Unit cell a=9.260 b=9.260 c=2.811 alpha=90.00 beta=90.00 gamma=120.00
Fractional coordinates of all 12 atoms:
Mg1 0.000 0.000 0.000
Al1 0.000 0.500 0.000
Al2 0.176 0.352 0.500
Al3 0.176 0.824 0.500
Al4 0.333 0.667 0.000
Al5 0.352 0.176 0.500
Al6 0.500 0.000 0.000
Al7 0.500 0.500 0.000
Al8 0.648 0.824 0.500
Al9 0.667 0.333 0.000
Al10 0.824 0.176 0.500
Al11 0.824 0.648 0.500

Properties
Crystal system: hexagonal
Size of the total moment in μB per formula unit: 0.00
SG: P6/mmm
DFT formation energy in eV/atom: 0.0519

***

Entry 16:
## TbYCd4 (PBE)

Data for a geometry-optimized TbYCd4 structure.

Unit cell a=3.462 b=4.982 c=8.596 alpha=90.00 beta=90.10 gamma=90.00
Fractional coordinates of all 6 atoms:
Tb1 0.000 0.000 0.000
Y1 0.000 0.500 0.500
Cd1 0.499 0.000 0.333
Cd2 0.499 0.500 0.833
Cd3 0.501 0.000 0.667
Cd4 0.501 0.500 0.167

Properties
Crystal system: monoclinic
Polymorph energy (0 for the lowest one) in eV per atom: 0.000
Size of the total moment in μB per formula unit: 0.00
SG: P2/m
DFT formation energy in eV/atom: -0.3319

***

Entry 17:
## Er4TlPb (PBE)

Data for a geometry-optimized Er4TlPb structure.

Unit cell a=8.248 b=8.248 c=6.322 alpha=104.03 beta=104.03 gamma=113.47
Fractional coordinates of all 12 atoms:
Er1 0.077 0.700 0.925
Er2 0.218 0.383 0.682
Er3 0.300 0.923 0.575
Er4 0.383 0.218 0.182
Er5 0.617 0.782 0.818
Er6 0.700 0.077 0.425
Er7 0.782 0.617 0.318
Er8 0.923 0.300 0.075
Tl1 0.001 0.999 0.250
Tl2 0.999 0.001 0.750
Pb1 0.379 0.621 0.250
Pb2 0.621 0.379 0.750

Properties
Crystal system: monoclinic
Polymorph energy (0 for the lowest one) in eV per atom: 0.000
Size of the total moment in μB per formula unit: 0.01
SG: C2/c
DFT formation energy in eV/atom: -0.2205

***

Entry 18:
## ReH2Rh (PBE)

Data for a geometry-optimized ReH2Rh structure.

Unit cell a=5.067 b=5.067 c=5.067 alpha=131.53 beta=131.53 gamma=70.97
Fractional coordinates of all 8 atoms:
Re1 0.000 0.000 0.000
Re2 0.750 0.250 0.500
H1 0.137 0.625 0.012
H2 0.375 0.387 0.512
H3 0.613 0.125 0.988
H4 0.875 0.863 0.488
Rh1 0.250 0.750 0.500
Rh2 0.500 0.500 0.000

Properties
Crystal system: tetragonal
Polymorph energy (0 for the lowest one) in eV per atom: 0.000
Size of the total moment in μB per formula unit: 0.00
SG: I-42d